LiNiPO4 (GGA+U, optimized geometry); calculated volume = 338.2 Å³ per cell; polymorph energy (0 for the lowest one) = 71 meV/atom; electronic total energy = -6.2018 eV/atom
1.0
5.2312 0.0000 0.0000
0.0000 7.8971 -0.0185
0.0000 2.1054 8.1827
Li Ni P O
4 4 4 16
Direct
0.3456 0.1223 0.2068
0.6544 0.1223 0.7068
0.8246 0.6484 0.3837
0.1754 0.6484 0.8837
0.1675 0.0513 0.5432
0.3251 0.5083 0.2700
0.8325 0.0513 0.0432
0.6749 0.5083 0.7700
0.6756 0.7461 0.0136
0.3244 0.7461 0.5136
0.8223 0.2586 0.3349
0.1777 0.2586 0.8349
0.1990 0.1214 0.0018
0.8010 0.1214 0.5018
0.4006 0.6770 0.0619
0.5994 0.6770 0.5619
0.7102 0.1883 0.1944
0.2898 0.1883 0.6944
0.1214 0.2866 0.3116
0.8786 0.2866 0.8116
0.8168 0.7887 0.1614
0.1832 0.7887 0.6614
0.6822 0.4291 0.3407
0.3178 0.4291 0.8407
0.1806 0.6086 0.4431
0.8194 0.6086 0.9431
0.3273 0.9262 0.3867
0.6727 0.9262 0.8867

LiNiPO4 (GGA+U, optimized geometry); calculated volume = 338.3 Å³ per cell; polymorph energy (0 for the lowest one) = 83 meV/atom; electronic total energy = -6.1902 eV/atom
1.0
-3.8160 1.3979 -3.0948
-5.1801 -0.7908 6.0293
1.2153 7.9318 2.0844
Li Ni P O
4 4 4 16
Direct
0.3354 0.5315 0.1956
0.3354 0.0315 0.3044
0.8354 0.9685 0.6956
0.8354 0.4685 0.8044
0.4663 0.6622 0.5529
0.4663 0.1622 0.9471
0.9663 0.8378 0.0529
0.9663 0.3378 0.4471
0.0059 0.2510 0.0733
0.0059 0.7510 0.4267
0.5060 0.2490 0.5733
0.5059 0.7490 0.9267
0.2522 0.3606 0.0456
0.2522 0.8606 0.4544
0.7522 0.1393 0.5456
0.7522 0.6393 0.9544
0.3242 0.7413 0.0763
0.3242 0.2413 0.4237
0.8242 0.7587 0.5763
0.8242 0.2587 0.9237
0.1381 0.0685 0.0833
0.1381 0.5685 0.4167
0.6381 0.4315 0.5833
0.6381 0.9315 0.9167
0.8471 0.2925 0.2243
0.8471 0.7926 0.2757
0.3471 0.2075 0.7242
0.3471 0.7074 0.7758

Li3Ni2P3O12 (GGA+U, optimized geometry); calculated volume = 418.9 Å³ per cell; polymorph energy (0 for the lowest one) = 15 meV/atom; electronic total energy = -6.2143 eV/atom
1.0
-4.0679 5.2051 5.3751
-6.6190 -0.7753 -5.3029
-4.2423 -3.5972 3.0282
Li Ni P O
6 4 6 24
Direct
0.0256 0.9744 0.7500
0.2853 0.7147 0.7500
0.5000 0.5000 0.5000
0.7147 0.2853 0.2500
0.9744 0.0256 0.2500
0.5000 0.5000 0.0000
0.9471 0.6253 0.6309
0.6253 0.9471 0.1309
0.3747 0.0529 0.8691
0.0529 0.3747 0.3691
0.3347 0.1330 0.3664
0.1330 0.3347 0.8664
0.2899 0.7101 0.2500
0.7101 0.2899 0.7500
0.6653 0.8670 0.6336
0.8670 0.6653 0.1336
0.8477 0.8503 0.1043
0.1497 0.1523 0.3957
0.3984 0.0455 0.1777
0.3329 0.0049 0.5969
0.9951 0.6671 0.9031
0.8503 0.8477 0.6043
0.6016 0.9545 0.8223
0.6671 0.9951 0.4031
0.0049 0.3329 0.0969
0.9545 0.6016 0.3223
0.5470 0.7056 0.6971
0.7325 0.4689 0.7673
0.7365 0.1799 0.9725
0.7056 0.5470 0.1971
0.1523 0.1497 0.8957
0.8201 0.2635 0.5275
0.1799 0.7365 0.4725
0.5311 0.2675 0.7327
0.2944 0.4530 0.8029
0.2635 0.8201 0.0275
0.2675 0.5311 0.2327
0.4530 0.2944 0.3029
0.0455 0.3984 0.6777
0.4689 0.7325 0.2673

LiNiPO4 (GGA+U, optimized geometry); calculated volume = 344.5 Å³ per cell; polymorph energy (0 for the lowest one) = 68 meV/atom; electronic total energy = -6.2044 eV/atom
1.0
-1.1084 -2.6108 -4.5451
-1.7012 -6.5123 4.1556
-8.1819 0.7488 1.5652
Li Ni P O
4 4 4 16
Direct
0.8418 0.0388 0.0675
0.3438 0.4952 0.2801
0.1582 0.0388 0.5675
0.6562 0.4952 0.7801
0.3330 0.1195 0.2011
0.8340 0.6386 0.3949
0.6670 0.1195 0.7011
0.1660 0.6386 0.8949
0.6666 0.7537 0.0158
0.8325 0.2592 0.3249
0.3334 0.7537 0.5158
0.1675 0.2592 0.8249
0.1687 0.1216 0.9923
0.4024 0.6776 0.0621
0.6888 0.1863 0.1937
0.1099 0.2967 0.2699
0.8055 0.7818 0.1711
0.6977 0.4257 0.3452
0.8313 0.1216 0.4923
0.1946 0.6265 0.4302
0.3403 0.9399 0.4048
0.5976 0.6776 0.5621
0.3112 0.1863 0.6937
0.8901 0.2967 0.7699
0.1945 0.7818 0.6711
0.3023 0.4257 0.8452
0.8054 0.6265 0.9302
0.6597 0.9399 0.9048

Li2NiP5O15 (GGA+U, optimized geometry); calculated volume = 595.0 Å³ per cell; polymorph energy (0 for the lowest one) = 28 meV/atom; electronic total energy = -6.6607 eV/atom
1.0
-4.7840 -4.9775 0.7667
6.3993 -2.2345 1.5188
-2.4196 6.6428 11.7531
Li Ni P O
4 2 10 30
Direct
0.2487 0.7662 0.2918
0.7662 0.2487 0.7918
0.2944 0.2184 0.3773
0.2184 0.2944 0.8773
0.9105 0.1664 0.2234
0.1664 0.9105 0.7234
0.9716 0.3562 0.4689
0.6108 0.7013 0.4510
0.8051 0.6259 0.1728
0.3562 0.9716 0.9689
0.7013 0.6108 0.9510
0.6259 0.8051 0.6728
0.0910 0.8386 0.4804
0.8386 0.0910 0.9804
0.4502 0.2248 0.1788
0.2248 0.4502 0.6788
0.8274 0.8488 0.1970
0.8488 0.8274 0.6970
0.4918 0.7491 0.3652
0.7491 0.4918 0.8652
0.8572 0.8388 0.4661
0.8388 0.8572 0.9661
0.7826 0.5525 0.0521
0.5525 0.7826 0.5521
0.9676 0.5586 0.2237
0.5586 0.9676 0.7237
0.2814 0.7607 0.0019
0.7607 0.2814 0.5019
0.9322 0.2012 0.0865
0.5606 0.4644 0.4312
0.2012 0.9322 0.5865
0.5697 0.4768 0.1871
0.4644 0.5606 0.9312
0.4768 0.5697 0.6871
0.1980 0.9389 0.4015
0.9389 0.1980 0.9015
0.0448 0.5934 0.4517
0.5934 0.0448 0.9517
0.6006 0.1269 0.2119
0.1269 0.6006 0.7119
0.3610 0.1520 0.0574
0.1520 0.3610 0.5574
0.2647 0.1870 0.2305
0.1870 0.2647 0.7305
0.0061 0.2398 0.3759
0.2398 0.0061 0.8759

LiNiPO4 (GGA+U, optimized geometry); calculated volume = 504.4 Å³ per cell; polymorph energy (0 for the lowest one) = 40 meV/atom; electronic total energy = -6.2331 eV/atom
1.0
8.4611 -0.0199 -0.0305
-2.4562 8.0968 -0.0305
-2.4562 -3.3036 7.3922
Li Ni P O
6 6 6 24
Direct
0.7170 0.1284 0.8921
0.6117 0.2058 0.4323
0.2058 0.4323 0.6117
0.8921 0.7170 0.1284
0.4323 0.6117 0.2058
0.1284 0.8921 0.7170
0.2360 0.0665 0.4527
0.9342 0.5415 0.7781
0.4527 0.2360 0.0665
0.5415 0.7781 0.9342
0.0665 0.4527 0.2360
0.7781 0.9342 0.5415
0.2830 0.8763 0.0904
0.3854 0.7919 0.5673
0.7919 0.5673 0.3854
0.0904 0.2830 0.8763
0.5673 0.3854 0.7919
0.8763 0.0904 0.2830
0.0816 0.7448 0.0238
0.2754 0.9097 0.5770
0.4030 0.7686 0.0856
0.2989 0.9731 0.9613
0.9731 0.9613 0.2989
0.5920 0.9161 0.6432
0.9613 0.2989 0.9731
0.7686 0.0856 0.4030
0.7448 0.0238 0.0816
0.5770 0.2754 0.9097
0.3534 0.0253 0.2848
0.0238 0.0816 0.7448
0.6871 0.3561 0.6869
0.3706 0.3141 0.6493
0.6493 0.3706 0.3141
0.6432 0.5920 0.9161
0.0856 0.4030 0.7686
0.9161 0.6432 0.5920
0.0253 0.2848 0.3534
0.9097 0.5770 0.2754
0.2848 0.3534 0.0253
0.3561 0.6869 0.6871
0.6869 0.6871 0.3561
0.3141 0.6493 0.3706

no.,magnetic moment (μB per cell)
1,7.93
2,8.00
3,3.80
4,8.14
5,5.75
6,12.28